(1)
# Ca4Pa3GaN8 | Alexandria via LeMat-Bulk | PBE-GGA | relaxed
# density: 6.86 Mg/m³
# SG: R-3m (166)
# calculated volume: 251 Å³/f.u.
data_Ca4Pa3GaN8
_chemical_formula_sum 'Ca4 Pa3 Ga1 N8'
_cell_length_a 6.987
_cell_length_b 6.987
_cell_length_c 6.987
_cell_angle_alpha 61.73
_cell_angle_beta 61.73
_cell_angle_gamma 61.73
_space_group_name_H-M_alt 'P 1'
_space_group_IT_number 1
loop_
_space_group_symop_operation_xyz
'x,y,z'
loop_
_atom_site_label
_atom_site_type_symbol
_atom_site_fract_x
_atom_site_fract_y
_atom_site_fract_z
Ca1 Ca 0.000 0.000 0.000
Ca2 Ca 0.000 0.500 0.500
Ca3 Ca 0.500 0.000 0.500
Ca4 Ca 0.500 0.500 0.000
Pa1 Pa 0.000 0.000 0.500
Pa2 Pa 0.000 0.500 0.000
Pa3 Pa 0.500 0.000 0.000
Ga1 Ga 0.500 0.500 0.500
N1 N 0.199 0.756 0.756
N2 N 0.242 0.242 0.242
N3 N 0.244 0.244 0.801
N4 N 0.244 0.801 0.244
N5 N 0.756 0.199 0.756
N6 N 0.756 0.756 0.199
N7 N 0.758 0.758 0.758
N8 N 0.801 0.244 0.244


(2)
# Ca2GaPbN | Alexandria via LeMat-Bulk | PBE-GGA | relaxed
# density: 5.79 Mg/m³
# SG: P4/mmm (123)
# calculated volume: 106 Å³/f.u.
data_Ca2GaPbN
_chemical_formula_sum 'Ca2 Ga1 Pb1 N1'
_cell_length_a 5.030
_cell_length_b 5.030
_cell_length_c 4.205
_cell_angle_alpha 90.00
_cell_angle_beta 90.00
_cell_angle_gamma 90.00
_space_group_name_H-M_alt 'P 1'
_space_group_IT_number 1
loop_
_space_group_symop_operation_xyz
'x,y,z'
loop_
_atom_site_label
_atom_site_type_symbol
_atom_site_fract_x
_atom_site_fract_y
_atom_site_fract_z
Ca1 Ca 0.000 0.500 0.000
Ca2 Ca 0.500 0.000 0.000
Ga1 Ga 0.000 0.000 0.500
Pb1 Pb 0.500 0.500 0.500
N1 N 0.000 0.000 0.000


(3)
# CaPm2GaN | Alexandria via LeMat-Bulk | PBE-GGA | relaxed
# density: 5.84 Mg/m³
# SG: P4/mmm (123)
# calculated volume: 118 Å³/f.u.
data_CaPm2GaN
_chemical_formula_sum 'Ca1 Pm2 Ga1 N1'
_cell_length_a 4.956
_cell_length_b 4.956
_cell_length_c 4.793
_cell_angle_alpha 90.00
_cell_angle_beta 90.00
_cell_angle_gamma 90.00
_space_group_name_H-M_alt 'P 1'
_space_group_IT_number 1
loop_
_space_group_symop_operation_xyz
'x,y,z'
loop_
_atom_site_label
_atom_site_type_symbol
_atom_site_fract_x
_atom_site_fract_y
_atom_site_fract_z
Ca1 Ca 0.000 0.000 0.000
Pm1 Pm 0.000 0.500 0.500
Pm2 Pm 0.500 0.000 0.500
Ga1 Ga 0.500 0.500 0.000
N1 N 0.000 0.000 0.500


| no. | energy (eV/f.u.) |
| --- | --- |
| 1 | -125.5 |
| 2 | -21.5 |
| 3 | -26.9 |